Ga2CoO4 | PBE+U | relaxed

Results
- total energy (eV per atom) = -6.08

Lattice parameters (Å, degrees): 5.982 5.982 5.982 60.00 60.00 60.00
Fractional positions:
Ga  0.000  0.000  0.000
Ga  0.000  0.000  0.500
Ga  0.000  0.500  0.000
Ga  0.500  0.000  0.000
Co  0.375  0.375  0.375
Co  0.625  0.625  0.625
O  0.215  0.762  0.762
O  0.238  0.238  0.238
O  0.238  0.238  0.785
O  0.238  0.785  0.238
O  0.762  0.215  0.762
O  0.762  0.762  0.215
O  0.762  0.762  0.762
O  0.785  0.238  0.238